1.
RhWBr2, optimized geometry, DFT PBE; N(E_F) = 0.7885 states/eV/atom; electronic total energy = -5.840 eV per atom; distance to the lowest polymorph of the same formula = 0.0 meV/atom; energy relative to the elements, uncorrected = 0.3 eV per formula unit
1.0
-3.1406 0.2420 -0.8392
-0.8709 -0.0110 3.2558
0.1496 8.2022 1.8053
Br Rh W
2 1 1
direct
0.5000 0.1397 0.3446
0.0000 0.8491 0.9280
0.0000 0.5421 0.5404
0.5000 0.9691 0.6870

2.
CuGe2Te4, optimized geometry, DFT PBE; N(E_F) = 0.3620 states/eV/atom; electronic total energy = -3.732 eV per atom; distance to the lowest polymorph of the same formula = 0.0 meV/atom; energy relative to the elements, uncorrected = -0.2 eV per formula unit
1.0
5.9844 0.0000 0.0000
0.0000 5.9844 0.0000
0.0000 0.0000 5.9560
Te Ge Cu
4 2 1
direct
0.2650 0.7350 0.7911
0.7350 0.2650 0.7911
0.7350 0.7350 0.2089
0.2650 0.2650 0.2089
0.5000 0.0000 0.5000
0.0000 0.5000 0.5000
0.0000 0.0000 0.0000

3.
Th8FeNi2, optimized geometry, DFT PBE; N(E_F) = 1.2025 states/eV/atom; electronic total energy = -7.370 eV per atom; ΔH_f (0 K) = -0.154 eV per atom
1.0
-2.0209 3.0964 0.4185
-7.3711 -4.7893 -0.1592
2.0536 -2.0826 8.7806
Ni Th Fe
2 8 1
direct
0.1703 0.7377 0.3405
0.8297 0.2623 0.6595
0.4067 0.4695 0.8134
0.6597 0.9843 0.3195
0.9850 0.7929 0.9699
0.5933 0.5305 0.1866
0.3403 0.0157 0.6805
0.2175 0.3360 0.4349
0.0150 0.2071 0.0301
0.7825 0.6640 0.5651
0.5000 0.0000 0.0000

4.
CeHf2Ta, optimized geometry, DFT PBE; N(E_F) = 1.7479 states/eV/atom; electronic total energy = -9.252 eV per atom; distance to the lowest polymorph of the same formula = 0.0 meV/atom; ΔH_f (0 K) = 0.172 eV per atom
1.0
-1.3409 -3.0993 0.7500
2.9825 -1.5068 -0.8947
2.4948 0.6630 7.1999
Hf Ta Ce
2 1 1
direct
0.0000 0.0000 0.2094
0.0000 0.0000 0.7906
0.5000 0.5000 0.0000
0.5000 0.5000 0.5000

5.
InBiB3, optimized geometry, DFT PBE; N(E_F) = 0.6826 states/eV/atom; electronic total energy = -3.044 eV per atom; distance to the lowest polymorph of the same formula = 225.4 meV/atom; ΔH_f (0 K) = 2.286 eV per atom
1.0
-3.0436 -3.4071 1.4169
3.3724 -3.3139 -0.7245
1.4977 0.5380 4.5108
In B Bi
1 3 1
direct
0.5000 0.5000 0.5000
0.0000 0.0000 0.5000
0.0000 0.5000 0.0000
0.5000 0.0000 0.0000
0.0000 0.0000 0.0000

6.
K2YGaSe4, optimized geometry, DFT PBE; N(E_F) = 0.1530 states/eV/atom; electronic total energy = -4.367 eV per atom; energy relative to the elements, uncorrected = -9.3 eV per formula unit
1.0
8.5588 -0.0802 -0.1760
-0.0862 8.5587 -0.1760
-4.2861 -4.2891 6.1949
K Se Ga Y
4 8 2 2
direct
0.5000 0.0000 0.0000
0.0000 0.0000 0.5000
0.5000 0.0000 0.5000
0.5000 0.5000 0.0000
0.7576 0.7365 0.5434
0.2447 0.7103 0.4770
0.7553 0.2897 0.5230
0.2424 0.2636 0.4566
0.2103 0.7447 0.9770
0.2365 0.2576 0.0434
0.7897 0.2553 0.0230
0.7635 0.7424 0.9566
0.0000 0.0000 0.0000
0.5000 0.5000 0.5000
0.0000 0.5000 0.5000
0.0000 0.5000 0.0000

7.
NaTa2H, optimized geometry, DFT PBE; N(E_F) = 1.0630 states/eV/atom; electronic total energy = -6.389 eV per atom; distance to the lowest polymorph of the same formula = 0.0 meV/atom
1.0
-0.0980 -0.7598 5.8607
5.8869 -0.5270 0.0301
3.2613 3.4855 3.4868
Ta Na H
4 2 2
direct
0.8750 0.6242 0.7500
0.3758 0.6250 0.2500
0.3750 0.6258 0.7500
0.3742 0.1250 0.2500
0.7500 0.2500 0.5000
0.0000 0.0000 0.0000
0.5000 0.5000 0.0000
0.2500 0.7500 0.5000

8.
PrHoMgZn, optimized geometry, DFT PBE; N(E_F) = 1.0957 states/eV/atom; electronic total energy = -3.262 eV per atom; distance to the lowest polymorph of the same formula = 0.0 meV/atom; ΔH_f (0 K) = -0.206 eV per atom
1.0
-1.4738 -1.5508 2.9588
3.1710 -1.6668 0.7059
2.2637 6.1489 4.3503
Ho Zn Pr Mg
1 1 1 1
direct
0.0000 0.0000 0.3291
0.5000 0.5000 0.1281
0.0000 0.0000 0.8799
0.5000 0.5000 0.5908

| no. | calculated volume (Å³ per atom) |
| --- | --- |
| 1 | 22.61 |
| 2 | 30.47 |
| 3 | 26.87 |
| 4 | 22.88 |
| 5 | 21.89 |
| 6 | 27.54 |
| 7 | 18.26 |
| 8 | 26.21 |